## BeIr2Cl (PBE-GGA)

Data for crystalline BeIr2Cl at its relaxed geometry.

The energy above the lowest structure with this stoichiometry is 260 meV per atom. Its magnetic moment is 0.000 μB/f.u.

The space group is Pmm2 (No. 25) and the conventional cell measures 2.7964, 3.5036 and 6.1835 Å, with angles of 90.00, 90.00 and 90.00 degrees. The asymmetric unit holds Be at (0.0000, 0.0000, 0.0000), Ir at (0.0000, 0.0000, 0.6412), Ir at (0.5000, 0.5000, 0.9106) and Cl at (0.5000, 0.5000, 0.3049).

---

## BeIrCl (PBE-GGA)

Data for crystalline BeIrCl at its relaxed geometry.

The energy above the lowest structure with this stoichiometry is 622 meV per atom. Its magnetic moment is 0.000 μB/f.u.

The space group is Pnma (No. 62) and the conventional cell measures 8.7504, 3.6134 and 8.0717 Å, with angles of 90.00, 90.00 and 90.00 degrees. The asymmetric unit holds Be at (0.0586, 0.2500, 0.0058), Ir at (0.1891, 0.7500, 0.9420) and Cl at (0.2134, 0.2500, 0.7067).

---

## BeIrCl (PBE-GGA)

Data for crystalline BeIrCl at its relaxed geometry.

The energy above the lowest structure with this stoichiometry is 711 meV per atom. Its magnetic moment is 0.000 μB/f.u.

The space group is I4mm (No. 107) and the conventional cell measures 2.8704, 2.8704 and 11.3996 Å, with angles of 90.00, 90.00 and 90.00 degrees. The asymmetric unit holds Be at (0.0000, 0.0000, 0.0000), Ir at (0.0000, 0.0000, 0.4027) and Cl at (0.0000, 0.0000, 0.7332).

---

## BeIr2Cl (PBE-GGA)

Data for crystalline BeIr2Cl at its relaxed geometry.

The energy above the lowest structure with this stoichiometry is 363 meV per atom. Its magnetic moment is 0.000 μB/f.u.

The space group is P2/m (No. 10) and the conventional cell measures 2.9138, 4.1387 and 4.7201 Å, with angles of 90.00, 91.89 and 90.00 degrees. The asymmetric unit holds Be at (0.0000, 0.0000, 0.0000), Ir at (0.2449, 0.5000, 0.2328) and Cl at (0.5000, 0.0000, 0.5000).

---

## BeIr2Cl (PBE-GGA)

Data for crystalline BeIr2Cl at its relaxed geometry.

The energy above the lowest structure with this stoichiometry is 188 meV per atom. Its magnetic moment is 0.003 μB/f.u.

The space group is R-3m (No. 166, hexagonal axes) and the conventional cell measures 2.8143, 2.8143 and 23.8599 Å, with angles of 90.00, 90.00 and 120.00 degrees. The asymmetric unit holds Be at (0.0000, 0.0000, 0.0000), Ir at (0.0000, 0.0000, 0.2586) and Cl at (0.0000, 0.0000, 0.5000).

---

## BeIrCl2 (PBE-GGA)

Data for crystalline BeIrCl2 at its relaxed geometry.

The energy above the lowest structure with this stoichiometry is 399 meV per atom. Its magnetic moment is 0.000 μB/f.u.

The space group is Imm2 (No. 44) and the conventional cell measures 2.9424, 3.8910 and 13.6104 Å, with angles of 90.00, 90.00 and 90.00 degrees. The asymmetric unit holds Be at (0.0000, 0.0000, 0.0000), Ir at (0.0000, 0.5000, 0.3685), Cl at (0.0000, 0.0000, 0.5793) and Cl at (0.0000, 0.5000, 0.8391).

---

## BeIrCl (PBE-GGA)

Data for crystalline BeIrCl at its relaxed geometry.

The energy above the lowest structure with this stoichiometry is 460 meV per atom. Its magnetic moment is 0.000 μB/f.u.

The space group is Fmm2 (No. 42) and the conventional cell measures 2.8433, 4.9423 and 14.4738 Å, with angles of 90.00, 90.00 and 90.00 degrees. The asymmetric unit holds Be at (0.0000, 0.0000, 0.0000), Ir at (0.0000, 0.0000, 0.3734) and Cl at (0.0000, 0.0000, 0.6004).

---

## BeIr2Cl (PBE-GGA)

Data for crystalline BeIr2Cl at its relaxed geometry.

The energy above the lowest structure with this stoichiometry is 552 meV per atom. Its magnetic moment is 0.000 μB/f.u.

The space group is Cmmm (No. 65) and the conventional cell measures 5.8959, 6.2040 and 2.9044 Å, with angles of 90.00, 90.00 and 90.00 degrees. The asymmetric unit holds Be at (0.0000, 0.0000, 0.0000), Ir at (0.2500, 0.2500, 0.5000) and Cl at (0.0000, 0.5000, 0.0000).

---

Values for energy relative to the elements, uncorrected, eV/atom, ordered as above
0.415, 0.179, 0.268, 0.518, 0.343, 0.221, 0.018, 0.707
Values for E, eV/cell, ordered as above
-21.6, -55.6, -27.3, -21.2, -65.8, -30.8, -57.5, -40.9